(1)
# SiMoPt2 SCAN PBEsol geometry
# V   58.0 Å³ per cell
# Spin magnetization   0.000 μB/cell
# ρ   14.709 g cm⁻³
# DOS at the Fermi energy   0.706 states/eV per atom
# Crystal system   monoclinic
# Electronic total energy   -46.541 eV per atom
# Symmetry   No. 10
data_SiMoPt2
_chemical_formula_sum 'Si1 Mo1 Pt2'
_symmetry_space_group_name_H-M 'P 1'
_symmetry_Int_Tables_number 1
_symmetry_space_group_name_Hall 'P 1'
_cell_length_a 4.591
_cell_length_b 2.744
_cell_length_c 4.817
_cell_angle_alpha 90.00
_cell_angle_beta 106.96
_cell_angle_gamma 90.00
loop_
_atom_site_label
_atom_site_fract_x
_atom_site_fract_y
_atom_site_fract_z
_atom_site_occupancy
Si1 0.000 0.000 0.000 1
Mo1 0.500 0.500 0.000 1
Pt1 0.000 0.500 0.500 1
Pt2 0.500 0.000 0.500 1

---

(2)
# TlIrRh2 SCAN PBEsol geometry
# V   61.2 Å³ per cell
# Spin magnetization   0.000 μB/cell
# Energy of formation   0.2503 eV/atom
# ρ   16.335 g cm⁻³
# DOS at the Fermi energy   0.525 states/eV per atom
# Crystal system   tetragonal
# Energy relative to the lowest polymorph listed for this composition   0.000 eV/atom
# Electronic total energy   -52.500 eV per atom
# Symmetry   No. 139
data_TlIrRh2
_chemical_formula_sum 'Tl1 Ir1 Rh2'
_symmetry_space_group_name_H-M 'P 1'
_symmetry_Int_Tables_number 1
_symmetry_space_group_name_Hall 'P 1'
_cell_length_a 4.767
_cell_length_b 4.767
_cell_length_c 4.767
_cell_angle_alpha 130.49
_cell_angle_beta 130.49
_cell_angle_gamma 72.63
loop_
_atom_site_label
_atom_site_fract_x
_atom_site_fract_y
_atom_site_fract_z
_atom_site_occupancy
Tl1 0.000 0.000 0.000 1
Ir1 0.500 0.500 0.000 1
Rh1 0.250 0.750 0.500 1
Rh2 0.750 0.250 0.500 1

---

(3)
# SrHg4Pb SCAN PBEsol geometry
# V   155.5 Å³ per cell
# Spin magnetization   0.000 μB/cell
# Energy of formation   -0.2735 eV/atom
# ρ   11.718 g cm⁻³
# DOS at the Fermi energy   0.415 states/eV per atom
# Crystal system   cubic
# Electronic total energy   -62.060 eV per atom
# Symmetry   No. 216
data_SrHg4Pb
_chemical_formula_sum 'Sr1 Hg4 Pb1'
_symmetry_space_group_name_H-M 'P 1'
_symmetry_Int_Tables_number 1
_symmetry_space_group_name_Hall 'P 1'
_cell_length_a 6.036
_cell_length_b 6.036
_cell_length_c 6.036
_cell_angle_alpha 60.00
_cell_angle_beta 60.00
_cell_angle_gamma 60.00
loop_
_atom_site_label
_atom_site_fract_x
_atom_site_fract_y
_atom_site_fract_z
_atom_site_occupancy
Sr1 0.000 0.000 0.000 1
Hg1 0.125 0.625 0.625 1
Hg2 0.625 0.125 0.625 1
Hg3 0.625 0.625 0.125 1
Hg4 0.625 0.625 0.625 1
Pb1 0.250 0.250 0.250 1